VASP calculation (PBE) on an optimized crystal structure of BeReTe2.

Output
ρ (g/cm³): 8.925
Final energy (eV/atom): -4.953
Volume (Å³ per cell): 167.61
Total magnetic moment (μB per atom): 0.000
Density of states at the Fermi level (states/eV/f.u.): 2.6
Crystal system: orthorhombic

```
data_BeReTe2
_symmetry_space_group_name_H-M 'C m m 2'
_symmetry_Int_Tables_number 35
_symmetry_space_group_name_Hall 'C 2 -2'
_cell_length_a 3.345
_cell_length_b 5.313
_cell_length_c 9.430
_cell_angle_alpha 90.00
_cell_angle_beta 90.00
_cell_angle_gamma 90.00
loop_
_atom_site_label
_atom_site_fract_x
_atom_site_fract_y
_atom_site_fract_z
Be1 0.000 0.000 0.000
Re1 0.000 0.500 0.178
Te1 0.000 0.000 0.404
Te2 0.000 0.500 0.806
```